Here is Sc3Cu2Pt2 after structural relaxation from Alexandria via LeMat-Bulk. Energies are from PBE-GGA.

Values from the calculation:
The calculation puts the density of states at the Fermi level at 5.1 states/eV/f.u. The magnetic moment is 0.0 Bohr magnetons per cell. As for the formation energy: -4.75 eV/f.u. The energy is -44.0 eV for the cell shown.

```
data_Sc3Cu2Pt2
_chemical_formula_sum 'Sc3 Cu2 Pt2'
_symmetry_space_group_name_H-M 'P -1'
_symmetry_Int_Tables_number 2
_symmetry_space_group_name_Hall '-P 1'
_cell_length_a 4.221
_cell_length_b 5.011
_cell_length_c 6.668
_cell_angle_alpha 106.23
_cell_angle_beta 90.01
_cell_angle_gamma 114.85
loop_
_atom_site_label
_atom_site_type_symbol
_atom_site_fract_x
_atom_site_fract_y
_atom_site_fract_z
_atom_site_occupancy
Sc1 Sc 0.000 0.000 0.000 1
Sc2 Sc 0.383 0.766 0.281 1
Cu1 Cu 0.329 0.659 0.816 1
Pt1 Pt 0.128 0.253 0.422 1
```


Here is ScCuPt4 after structural relaxation from Alexandria via LeMat-Bulk. Energies are from PBE-GGA.

Values from the calculation:
The calculation puts the density of states at the Fermi level at 4.7 states/eV/f.u. The magnetic moment is 0.0 Bohr magnetons per cell. As for the formation energy: -3.09 eV/f.u. The energy is -150.7 eV for the cell shown.

```
data_ScCuPt4
_chemical_formula_sum 'Sc4 Cu4 Pt16'
_symmetry_space_group_name_H-M 'F -4 3 m'
_symmetry_Int_Tables_number 216
_symmetry_space_group_name_Hall 'F -4 2 3'
_cell_length_a 7.434
_cell_length_b 7.434
_cell_length_c 7.434
_cell_angle_alpha 90.00
_cell_angle_beta 90.00
_cell_angle_gamma 90.00
loop_
_atom_site_label
_atom_site_type_symbol
_atom_site_fract_x
_atom_site_fract_y
_atom_site_fract_z
_atom_site_occupancy
Sc1 Sc 0.000 0.000 0.000 1
Cu1 Cu 0.250 0.250 0.750 1
Pt1 Pt 0.125 0.125 0.375 1
```


Here is Sc2CuPtSe after structural relaxation from Alexandria via LeMat-Bulk. Energies are from PBE-GGA.

Values from the calculation:
The calculation puts the density of states at the Fermi level at 4.3 states/eV/f.u. The magnetic moment is 0.0 Bohr magnetons per cell. The energy is -26.6 eV for the cell shown.

```
data_Sc2CuPtSe
_chemical_formula_sum 'Sc2 Cu1 Pt1 Se1'
_symmetry_space_group_name_H-M 'P 4/m m m'
_symmetry_Int_Tables_number 123
_symmetry_space_group_name_Hall '-P 4 2'
_cell_length_a 4.950
_cell_length_b 4.950
_cell_length_c 4.684
_cell_angle_alpha 90.00
_cell_angle_beta 90.00
_cell_angle_gamma 90.00
loop_
_atom_site_label
_atom_site_type_symbol
_atom_site_fract_x
_atom_site_fract_y
_atom_site_fract_z
_atom_site_occupancy
Sc1 Sc 0.000 0.500 0.000 1
Cu1 Cu 0.000 0.000 0.500 1
Pt1 Pt 0.500 0.500 0.500 1
Se1 Se 0.500 0.500 0.000 1
```